First-principles (PBE with a Hubbard U) data for an optimized crystal structure of CoGeNO, as listed in OQMD via LeMat-Bulk.

a = 3.3744 Å, b = 5.5027 Å, c = 5.1647 Å
α = 90.00°, β = 90.00°, γ = 90.00°
Last column: nearest neighbours and their distance in Å.
Atoms (fractional coordinates):
Co  0.0000  0.1801  0.0000  2 N 2.02, 2 O 2.10-2.14
Co  0.0000  0.8199  0.5000  2 N 2.02, 2 O 2.10-2.14
Ge  0.5000  0.3333  0.5142  2 N 1.88-1.89, 2 O 1.93
Ge  0.5000  0.6667  0.0142  2 N 1.88-1.89, 2 O 1.93
N  0.5000  0.3483  0.8786  2 Ge 1.88-1.89, 2 Co 2.02
N  0.5000  0.6517  0.3786  2 Ge 1.88-1.89, 2 Co 2.02
O  0.0000  0.1922  0.4150  2 Ge 1.93, 2 Co 2.10-2.14
O  0.0000  0.8078  0.9150  2 Ge 1.93, 2 Co 2.10-2.14

**Energy**: -48.38 eV for the cell shown
**Space-group type**: Pmc2_1, No. 26